1.
A geometry-optimized HoPaTe2Se structure. Source: Alexandria, functional PBE.

## Properties
M_tot   2.04 μB/cell
Raw formation energy   -1.129 eV per atom

a b c (Å): 4.3559 4.3559 14.8144
angles (deg): 90.00 90.00 90.00
With the nearest neighbours (Å) after each atom.
Space group P4/nmm (No. 129, origin choice 2)
Unique sites:
Ho 0.2500 0.2500 0.0849 [2 per cell]  6 Te 3.09-3.13
Pa 0.2500 0.2500 0.6301 [2 per cell]  4 Se 2.91
Te 0.2500 0.2500 0.2945 [2 per cell]  1 Ho 3.10, 4 Pa 3.28
Te 0.2500 0.2500 0.8766 [2 per cell]  5 Ho 3.09-3.13
Se 0.2500 0.7500 0.5000 [2 per cell]  4 Pa 2.91, 4 Se 3.08

2.
A geometry-optimized Tl3Zn structure. Source: Alexandria, functional PBE.

## Properties
Formation energy from the elements   142 meV per atom
M_tot   0.00 μB/cell

a b c (Å): 4.6580 4.6580 10.1444
angles (deg): 90.00 90.00 90.00
With the nearest neighbours (Å) after each atom.
Space group I4/mmm (No. 139)
Unique sites:
Tl 0.0000 0.0000 0.0000 [2 per cell]  4 Zn 3.29, 8 Tl 3.44
Tl 0.0000 0.5000 0.2500 [4 per cell]  8 Tl 3.29-3.44, 4 Zn 3.44
Zn 0.0000 0.0000 0.5000 [2 per cell]  12 Tl 3.29-3.44

3.
A geometry-optimized Nd8YTh2 structure. Source: Alexandria, functional PBE.

## Properties
Formation energy from the elements   192 meV per atom
M_tot   0.00 μB/cell

a b c (Å): 9.1670 16.6383 6.0788
angles (deg): 90.00 123.99 90.00
With the nearest neighbours (Å) after each atom.
Space group C2/m (No. 12)
Unique sites:
Nd 0.0000 0.2066 0.0000 [4 per cell]  1 Y 3.44, 4 Th 3.48-3.84, 6 Nd 3.66-3.77
Nd 0.0777 0.5000 0.7941 [4 per cell]  3 Nd 3.02-3.30, 1 Y 3.34
Nd 0.2175 0.1180 0.6809 [8 per cell]  4 Nd 3.30-3.66, 2 Th 3.55-3.57
Y 0.0000 0.0000 0.0000 [2 per cell]  4 Nd 3.34-3.44
Th 0.0000 0.3083 0.5000 [4 per cell]  10 Nd 3.48-3.84

4.
A geometry-optimized Ga2Ni8Pt structure. Source: Alexandria, functional PBE.

## Properties
Formation energy from the elements   -23 meV per atom
M_tot   3.26 μB/cell

a b c (Å): 6.5523 11.3206 4.2253
angles (deg): 90.00 118.86 90.00
With the nearest neighbours (Å) after each atom.
Space group C2/m (No. 12)
Unique sites:
Ga 0.0000 0.1915 0.0000 [4 per cell]  8 Ni 2.35-2.53
Ni 0.0000 0.2820 0.5000 [4 per cell]  2 Ga 2.35, 1 Pt 2.47, 2 Ni 2.62
Ni 0.0772 0.0000 0.3082 [4 per cell]  6 Ni 2.29-2.50, 2 Ga 2.45, 1 Pt 2.48
Ni 0.2088 0.3882 0.1372 [8 per cell]  6 Ni 2.40-2.65, 2 Ga 2.42-2.53, 1 Pt 2.68
Pt 0.0000 0.5000 0.5000 [2 per cell]  8 Ni 2.47-2.68

5.
A geometry-optimized Sc2ZnAu structure. Source: Alexandria, functional PBE.

## Properties
Formation energy from the elements   -602 meV per atom
M_tot   0.00 μB/cell

a b c (Å): 3.4029 4.7559 4.7566
angles (deg): 90.00 90.00 90.00
With the nearest neighbours (Å) after each atom.
Space group Pmm2 (No. 25)
Unique sites:
Sc 0.0000 0.0000 0.0000 [1 per cell]  4 Au 2.92-2.93, 4 Zn 2.92
Sc 0.0000 0.5000 0.4995 [1 per cell]  4 Zn 2.92, 4 Au 2.92
Zn 0.5000 0.5000 0.9993 [1 per cell]  8 Sc 2.92
Au 0.5000 0.0000 0.5005 [1 per cell]  8 Sc 2.92-2.93

6.
A geometry-optimized TbPr3Tm4 structure. Source: Alexandria, functional PBE.

## Properties
Formation energy from the elements   142 meV per atom
M_tot   0.00 μB/cell

a b c (Å): 3.4736 11.6763 13.0513
angles (deg): 90.00 90.00 90.00
With the nearest neighbours (Å) after each atom.
Space group Immm (No. 71)
Unique sites:
Tb 0.0000 0.0000 0.0000 [2 per cell]  4 Tm 3.36, 2 Tb 3.47, 4 Pr 3.62
Pr 0.0000 0.0000 0.5000 [2 per cell]  6 Pr 3.47-3.77, 8 Tm 3.87
Pr 0.0000 0.5000 0.2564 [4 per cell]  6 Tm 3.37-3.64, 4 Pr 3.47-3.77, 2 Tb 3.62
Tm 0.0000 0.2455 0.1350 [8 per cell]  1 Tb 3.36, 3 Pr 3.37-3.64, 5 Tm 3.47-3.52

7.
A geometry-optimized ZrInFeGe2 structure. Source: Alexandria, functional PBE.

## Properties
Formation energy from the elements   790 meV per atom
M_tot   2.59 μB/cell

a b c (Å): 5.2678 5.2678 4.7861
angles (deg): 90.00 90.00 90.00
With the nearest neighbours (Å) after each atom.
Space group P4/mmm (No. 123)
Unique sites:
Zr 0.0000 0.0000 0.0000 [1 per cell]  2 Fe 2.39, 4 Ge 2.63
In 0.5000 0.5000 0.5000 [1 per cell]  8 Ge 3.56, 4 Fe 3.72
Fe 0.0000 0.0000 0.5000 [1 per cell]  2 Zr 2.39
Ge 0.0000 0.5000 0.0000 [2 per cell]  2 Zr 2.63

8.
A geometry-optimized Tb12Nd7Th structure. Source: Alexandria, functional PBE.

## Properties
Formation energy from the elements   233 meV per atom
M_tot   0.00 μB/cell

a b c (Å): 12.3833 12.3833 15.3748
angles (deg): 90.00 90.00 120.00
With the nearest neighbours (Å) after each atom.
Space group R-3 (No. 148, hexagonal axes)
Unique sites:
Tb 0.0149 0.4446 0.2006 [18 per cell]  6 Tb 3.32-3.67, 2 Nd 3.49-3.72, 1 Th 3.54
Tb 0.0601 0.5865 0.5896 [18 per cell]  2 Nd 3.24-3.41, 4 Tb 3.32-3.51
Nd 0.0000 0.0000 0.0000 [3 per cell]  6 Tb 3.24
Nd 0.0347 0.1833 0.3031 [18 per cell]  5 Tb 3.41-3.78, 3 Nd 3.62-3.63, 1 Th 3.68
Th 0.0000 0.0000 0.5000 [3 per cell]  6 Tb 3.54, 6 Nd 3.68

9.
A geometry-optimized YNbRu2 structure. Source: Alexandria, functional PBE.

## Properties
Formation energy from the elements   -240 meV per atom
M_tot   0.00 μB/cell

a b c (Å): 4.6601 4.6601 3.2586
angles (deg): 90.00 90.00 90.00
With the nearest neighbours (Å) after each atom.
Space group P4/mmm (No. 123)
Unique sites:
Y 0.0000 0.0000 0.0000 [1 per cell]  8 Ru 2.84
Nb 0.5000 0.5000 0.0000 [1 per cell]  8 Ru 2.84
Ru 0.0000 0.5000 0.5000 [2 per cell]  4 Nb 2.84, 4 Y 2.84

10.
A geometry-optimized PaBeTc2 structure. Source: Alexandria, functional PBE.

## Properties
Formation energy from the elements   -102 meV per atom
M_tot   0.00 μB/cell

a b c (Å): 4.1750 4.1750 3.6474
angles (deg): 90.00 90.00 90.00
With the nearest neighbours (Å) after each atom.
Space group P4/mmm (No. 123)
Unique sites:
Pa 0.0000 0.0000 0.0000 [1 per cell]  8 Tc 2.77, 4 Be 2.95
Be 0.5000 0.5000 0.0000 [1 per cell]  8 Tc 2.77, 4 Pa 2.95
Tc 0.0000 0.5000 0.5000 [2 per cell]  4 Pa 2.77, 4 Be 2.77, 4 Tc 2.95

11.
A geometry-optimized La2ThAl structure. Source: Alexandria, functional PBE.

## Properties
Formation energy from the elements   -143 meV per atom
M_tot   0.00 μB/cell

a b c (Å): 3.6607 3.6607 9.0982
angles (deg): 90.00 90.00 90.00
With the nearest neighbours (Å) after each atom.
Space group P4/mmm (No. 123)
Unique sites:
La 0.0000 0.0000 0.2231 [2 per cell]  4 Al 3.29, 4 Th 3.61, 4 La 3.66
Th 0.5000 0.5000 0.5000 [1 per cell]  8 La 3.61, 4 Th 3.66
Al 0.5000 0.5000 0.0000 [1 per cell]  8 La 3.29, 4 Al 3.66

12.
A geometry-optimized Ba2InGa structure. Source: Alexandria, functional PBE.

## Properties
Formation energy from the elements   79 meV per atom
M_tot   0.00 μB/cell

a b c (Å): 4.1264 4.1264 35.8700
angles (deg): 90.00 90.00 120.00
With the nearest neighbours (Å) after each atom.
Space group R-3m (No. 166, hexagonal axes)
Unique sites:
Ba 0.0000 0.0000 0.1007 [6 per cell]  3 Ga 3.36, 1 In 3.61
In 0.0000 0.0000 0.0000 [3 per cell]  2 Ba 3.61
Ga 0.0000 0.0000 0.5000 [3 per cell]  6 Ba 3.36

13.
A geometry-optimized ScPd2S structure. Source: Alexandria, functional PBE.

## Properties
M_tot   0.00 μB/cell
Raw formation energy   -0.750 eV per atom

a b c (Å): 3.7909 3.7909 19.0717
angles (deg): 90.00 90.00 90.00
With the nearest neighbours (Å) after each atom.
Space group I-42d (No. 122)
Unique sites:
Sc 0.0000 0.0000 0.0000 [4 per cell]  4 S 2.68, 4 Pd 2.74
Pd 0.2455 0.2500 0.6250 [8 per cell]  4 Pd 2.66-2.71, 2 S 2.73, 2 Sc 2.74
S 0.0000 0.0000 0.5000 [4 per cell]  4 Sc 2.68, 4 Pd 2.73

14.
A geometry-optimized Li2Pu2O5F2 structure. Source: Alexandria, functional PBE.

## Properties
M_tot   12.00 μB/cell
Raw formation energy   -2.715 eV per atom

a b c (Å): 4.2358 4.2358 18.2695
angles (deg): 90.00 90.00 90.00
With the nearest neighbours (Å) after each atom.
Space group I4/mmm (No. 139)
Unique sites:
Li 0.0000 0.0000 0.1678 [4 per cell]  1 F 1.84
Pu 0.0000 0.0000 0.3868 [4 per cell]  5 O 2.07-2.12, 1 F 2.16
O 0.0000 0.0000 0.5000 [2 per cell]  2 Pu 2.07
O 0.0000 0.5000 0.1225 [8 per cell]  2 Pu 2.12, 2 Li 2.27
F 0.0000 0.0000 0.2683 [4 per cell]  1 Li 1.84

15.
A geometry-optimized Li2Th2Sn3 structure. Source: Alexandria, functional PBE.

## Properties
Formation energy from the elements   -482 meV per atom
M_tot   0.00 μB/cell

a b c (Å): 4.7043 19.9138 7.3708
angles (deg): 90.00 90.00 90.00
With the nearest neighbours (Å) after each atom.
Space group Cmcm (No. 63)
Unique sites:
Li 0.0000 0.1964 0.0646 [8 per cell]  4 Sn 2.65-2.87, 1 Li 2.73
Th 0.0000 0.3447 0.2500 [4 per cell]  6 Li 3.25-3.40, 6 Sn 3.26-3.45
Th 0.0000 0.4553 0.7500 [4 per cell]  9 Sn 3.25-3.60
Sn 0.0000 0.0701 0.5474 [8 per cell]  1 Li 2.65, 1 Sn 2.88
Sn 0.0000 0.2817 0.7500 [4 per cell]  6 Li 2.76-2.87

16.
A geometry-optimized Na2HfI2 structure. Source: Alexandria, functional PBE.

## Properties
M_tot   4.00 μB/cell
Raw formation energy   0.253 eV per atom

a b c (Å): 6.0174 6.0174 10.8104
angles (deg): 90.00 90.00 90.00
With the nearest neighbours (Å) after each atom.
Space group I4/mmm (No. 139)
Unique sites:
Na 0.0000 0.0000 0.1730 [4 per cell]  4 I 3.12
Hf 0.0000 0.0000 0.5000 [2 per cell]  2 Na 3.54
I 0.0000 0.5000 0.2500 [4 per cell]  4 Na 3.12

17.
A geometry-optimized CeNdEr2Bi4 structure. Source: Alexandria, functional PBE.

## Properties
Formation energy from the elements   -841 meV per atom
M_tot   0.81 μB/cell

a b c (Å): 7.8249 4.5345 7.8505
angles (deg): 90.00 109.51 90.00
With the nearest neighbours (Å) after each atom.
Space group P2/m (No. 10)
Unique sites:
Ce 0.0000 0.0000 0.0000 [1 per cell]  6 Bi 3.24
Nd 0.0000 0.5000 0.5000 [1 per cell]  6 Bi 3.25
Er 0.5000 0.0000 0.5000 [1 per cell]  6 Bi 3.17
Er 0.5000 0.5000 0.0000 [1 per cell]  6 Bi 3.15-3.16
Bi 0.2600 0.0000 0.7546 [2 per cell]  3 Er 3.16-3.17, 1 Ce 3.24, 2 Nd 3.25
Bi 0.2595 0.5000 0.2523 [2 per cell]  3 Er 3.15-3.17, 2 Ce 3.24, 1 Nd 3.25

18.
A geometry-optimized TiTc2Mo3 structure. Source: Alexandria, functional PBE.

## Properties
Formation energy from the elements   16 meV per atom
M_tot   0.00 μB/cell

a b c (Å): 13.1667 4.3749 6.7609
angles (deg): 90.00 96.24 90.00
With the nearest neighbours (Å) after each atom.
Space group C2/m (No. 12)
Unique sites:
Ti 0.1491 0.0000 0.2813 [4 per cell]  5 Tc 2.62-2.73, 2 Mo 2.77-2.81
Tc 0.0385 0.5000 0.2001 [4 per cell]  5 Mo 2.58-2.71, 2 Ti 2.65, 1 Tc 2.78
Tc 0.2278 0.0000 0.6545 [4 per cell]  3 Ti 2.62-2.73, 5 Mo 2.67-2.72
Mo 0.0747 0.0000 0.8821 [4 per cell]  3 Mo 2.66-2.71, 3 Tc 2.67, 1 Ti 2.77
Mo 0.1127 0.5000 0.5689 [4 per cell]  5 Tc 2.58-2.72, 1 Mo 2.77
Mo 0.1925 0.5000 0.9649 [4 per cell]  2 Tc 2.67-2.71, 5 Mo 2.67-2.77, 1 Ti 2.81

19.
A geometry-optimized LiSiW2 structure. Source: Alexandria, functional PBE.

## Properties
M_tot   0.00 μB/cell
Raw formation energy   0.312 eV per atom

a b c (Å): 2.6795 2.6795 8.6224
angles (deg): 90.00 90.00 90.00
With the nearest neighbours (Å) after each atom.
Space group P4mm (No. 99)
Unique sites:
Li 0.0000 0.0000 0.0000 [1 per cell]  4 Li 2.68, 4 Si 2.76
Si 0.5000 0.5000 0.2332 [1 per cell]  4 Si 2.68, 4 W 2.73, 4 Li 2.76
W 0.0000 0.0000 0.4607 [1 per cell]  8 W 2.68-2.96, 4 Si 2.73
W 0.5000 0.5000 0.7248 [1 per cell]  8 W 2.68-2.96

20.
A geometry-optimized Pr7CoCl12 structure. Source: Alexandria, functional PBE.

## Properties
M_tot   0.00 μB/cell
Raw formation energy   -1.876 eV per atom

a b c (Å): 14.8529 14.8529 10.5983
angles (deg): 90.00 90.00 120.00
With the nearest neighbours (Å) after each atom.
Space group R-3 (No. 148, hexagonal axes)
Unique sites:
Pr 0.0000 0.0000 0.0000 [3 per cell]  6 Cl 2.78
Pr 0.0352 0.1661 0.3558 [18 per cell]  1 Co 2.72, 4 Cl 2.86-3.02
Co 0.0000 0.0000 0.5000 [3 per cell]  6 Pr 2.72
Cl 0.0250 0.5784 0.1552 [18 per cell]  3 Pr 2.86-3.12
Cl 0.0372 0.1605 0.8347 [18 per cell]  3 Pr 2.78-3.02

21.
A geometry-optimized Mn2GaN structure. Source: Alexandria, functional PBE.

## Properties
M_tot   10.65 μB/cell
Raw formation energy   -0.208 eV per atom

a b c (Å): 2.7527 2.7527 19.8115
angles (deg): 90.00 90.00 120.00
With the nearest neighbours (Å) after each atom.
Space group R3m (No. 160, hexagonal axes)
Unique sites:
Mn 0.0000 0.0000 0.0000 [3 per cell]  3 N 2.00
Mn 0.0000 0.0000 0.1217 [3 per cell]  3 N 1.99
Ga 0.0000 0.0000 0.5606 [3 per cell]  6 Mn 2.63, 6 Ga 2.75
N 0.0000 0.0000 0.7278 [3 per cell]  6 Mn 1.99-2.00

22.
A geometry-optimized Li2CdHg7 structure. Source: Alexandria, functional PBE.

## Properties
Formation energy from the elements   -108 meV per atom
M_tot   0.00 μB/cell

a b c (Å): 4.7980 4.7980 12.3130
angles (deg): 90.00 90.00 120.00
With the nearest neighbours (Å) after each atom.
Space group P3m1 (No. 156)
Unique sites:
Li 0.0000 0.0000 0.0000 [1 per cell]  8 Hg 2.70-2.96
Li 0.3333 0.6667 0.6552 [1 per cell]  4 Hg 2.78-3.01
Cd 0.6667 0.3333 0.3209 [1 per cell]  6 Hg 2.98-3.04
Hg 0.0000 0.0000 0.2193 [1 per cell]  1 Li 2.70
Hg 0.0000 0.0000 0.5217 [1 per cell]  7 Hg 3.09-3.19, 3 Li 3.22
Hg 0.0000 0.0000 0.7809 [1 per cell]  1 Li 2.70
Hg 0.3333 0.6667 0.0849 [1 per cell]  3 Li 2.96, 3 Hg 3.23
Hg 0.3333 0.6667 0.4108 [1 per cell]  3 Cd 2.98, 1 Li 3.01, 3 Hg 3.09
Hg 0.6667 0.3333 0.6391 [1 per cell]  3 Li 2.78
Hg 0.6667 0.3333 0.9192 [1 per cell]  3 Li 2.94, 3 Hg 3.25

23.
A geometry-optimized KGaS2N structure. Source: Alexandria, functional PBE.

## Properties
M_tot   2.93 μB/cell
Raw formation energy   0.267 eV per atom

a b c (Å): 5.0795 5.0795 3.9428
angles (deg): 90.00 90.00 90.00
With the nearest neighbours (Å) after each atom.
Space group P4/mmm (No. 123)
Unique sites:
K 0.0000 0.0000 0.0000 [1 per cell]  8 S 3.22, 4 N 3.59
Ga 0.5000 0.5000 0.5000 [1 per cell]  2 N 1.97
S 0.0000 0.5000 0.5000 [2 per cell]  2 Ga 2.54
N 0.5000 0.5000 0.0000 [1 per cell]  2 Ga 1.97

24.
A geometry-optimized SmDy4Ho6 structure. Source: Alexandria, functional PBE.

## Properties
Formation energy from the elements   448 meV per atom
M_tot   0.00 μB/cell

a b c (Å): 7.6059 7.6059 13.0027
angles (deg): 90.00 90.00 90.00
With the nearest neighbours (Å) after each atom.
Space group I-42m (No. 121)
Unique sites:
Sm 0.0000 0.0000 0.0000 [2 per cell]  8 Ho 3.57-3.80, 4 Dy 3.72
Dy 0.1667 0.1667 0.4235 [8 per cell]  3 Ho 3.00-3.20, 2 Dy 3.22
Ho 0.0000 0.5000 0.0000 [4 per cell]  4 Dy 3.00
Ho 0.2441 0.2441 0.1856 [8 per cell]  4 Dy 3.20-3.58, 1 Sm 3.57